(1)
The following is a GGA-PBE calculation of a relaxed CaBe2Al crystal, from Alexandria via LeMat-Bulk.

Cell and atoms, written as POSCAR:
```
CaBe2Al
1.0
5.6441 0.0080 0.0263
-2.5821 4.5223 0.0338
0.4798 0.8010 2.6182
Be Al Ca
2 1 1
Direct
0.0000 0.0000 0.0000 Be
0.5000 0.0000 0.5000 Be
0.5000 0.5000 0.0000 Al
0.0000 0.5000 0.5000 Ca
```

Results
- ΔE_f (kJ per mole of atoms) = 59
- space-group type = No. 12
- V (Å³ per cell) = 66.6
- E (eV/cell) = -10.77


(2)
The following is a GGA-PBE calculation of a relaxed CeDy4Y5 crystal, from Alexandria via LeMat-Bulk.

Cell and atoms, written as POSCAR:
```
CeDy4Y5
1.0
-1.8168 -2.8066 -0.9846
3.4282 -5.3093 8.8081
-4.9951 2.9568 6.9571
Dy Ce Y
4 1 5
Direct
0.9068 0.8083 0.8136 Dy
0.3038 0.0819 0.6076 Dy
0.0932 0.1917 0.1864 Dy
0.6962 0.9181 0.3924 Dy
0.5000 0.0000 0.0000 Ce
0.2059 0.3999 0.4119 Y
0.5000 0.5000 0.0000 Y
0.8950 0.2851 0.7900 Y
0.1050 0.7149 0.2100 Y
0.7941 0.6001 0.5881 Y
```

Results
- ΔE_f (kJ per mole of atoms) = 10
- space-group type = No. 12
- V (Å³ per cell) = 321.0
- E (eV/cell) = -55.58